Below is PbI3Cl9 after structural relaxation, with properties calculated at the GGA-PBE level.

* total magnetization: 0.0 μB per formula unit
* formation energy (no corrections): -0.392 eV per atom

Lattice parameters (Å, degrees): 9.7921 10.3472 14.2313 77.89 69.88 61.76
Last column: nearest neighbours and their distance in Å.
Element x y z (fractional)
Pb (0.9581, 0.4857, 0.9835)  6 Cl 2.80-3.08
Pb (0.5726, 0.9857, 0.4835)  6 Cl 2.80-3.08
Cl (0.0644, 0.0165, 0.9660)  1 I 2.43
Cl (0.9531, 0.5165, 0.4660)  1 I 2.43
Cl (0.5955, 0.2300, 0.5485)  1 I 2.54
Cl (0.6260, 0.7300, 0.0485)  1 I 2.54
Cl (0.9856, 0.6673, 0.8073)  1 I 2.68, 1 Pb 2.82
Cl (0.0596, 0.6627, 0.0398)  1 I 2.67, 1 Pb 2.80
Cl (0.2614, 0.9462, 0.2460)  2 I 2.60-2.68
Cl (0.2947, 0.2705, 0.9199)  1 I 2.54
Cl (0.8509, 0.3838, 0.8492)  1 I 2.52
Cl (0.9162, 0.8838, 0.3492)  1 I 2.52
Cl (0.9889, 0.3429, 0.1926)  1 I 2.55
Cl (0.2379, 0.1627, 0.5398)  1 I 2.67, 1 Pb 2.80
Cl (0.5463, 0.4462, 0.7460)  2 I 2.60-2.68
Cl (0.2588, 0.5241, 0.2388)  1 I 2.41
Cl (0.5398, 0.1673, 0.3073)  1 I 2.68, 1 Pb 2.82
Cl (0.9783, 0.0241, 0.7388)  1 I 2.41
Cl (0.4756, 0.8429, 0.6926)  1 I 2.55
Cl (0.5150, 0.7705, 0.4199)  1 I 2.54
I (0.9551, 0.1102, 0.2680)  3 Cl 2.52-2.60
I (0.2338, 0.3605, 0.3850)  4 Cl 2.41-2.68
I (0.5699, 0.7572, 0.2333)  3 Cl 2.54-2.68
I (0.4396, 0.2572, 0.7333)  3 Cl 2.54-2.68
I (0.0207, 0.8605, 0.8850)  4 Cl 2.41-2.68
I (0.6667, 0.6102, 0.7680)  3 Cl 2.52-2.60